Entry 1:
VASP calculation (PBE-GGA) on a relaxed ZnAgAu14 crystal.

CIF file:
```
data_ZnAgAu14
_chemical_formula_sum 'Zn2 Ag2 Au28'
_space_group_name_H-M_alt 'A m m 2'
_space_group_IT_number 38
_space_group_name_Hall 'A 2 -2'
_cell_length_a 9.461
_cell_length_b 5.974
_cell_length_c 10.137
_cell_angle_alpha 90.00
_cell_angle_beta 90.00
_cell_angle_gamma 90.00
loop_
_atom_site_label
_atom_site_fract_x
_atom_site_fract_y
_atom_site_fract_z
_atom_site_occupancy
Zn1 0.000 0.000 0.000 1
Ag1 0.000 0.000 0.499 1
Au1 0.000 0.248 0.249 1
Au2 0.243 0.000 0.832 1
Au3 0.245 0.247 0.079 1
Au4 0.251 0.000 0.331 1
Au5 0.500 0.000 0.160 1
Au6 0.500 0.000 0.661 1
Au7 0.500 0.248 0.911 1
```

Output
Total magnetic moment (μB/atom): 0.000
Theoretical density (g/cm³): 16.99
Calculated total energy (eV per atom): -3.152

=====

Entry 2:
VASP calculation (PBE-GGA) on a relaxed Zn4AgAu5 crystal.

CIF file:
```
data_Zn4AgAu5
_chemical_formula_sum 'Zn4 Ag1 Au5'
_space_group_name_H-M_alt 'P 4/m m m'
_space_group_IT_number 123
_space_group_name_Hall '-P 4 2'
_cell_length_a 3.193
_cell_length_b 3.193
_cell_length_c 16.256
_cell_angle_alpha 90.00
_cell_angle_beta 90.00
_cell_angle_gamma 90.00
loop_
_atom_site_label
_atom_site_fract_x
_atom_site_fract_y
_atom_site_fract_z
_atom_site_occupancy
Zn1 0.000 0.000 0.097 1
Zn2 0.000 0.000 0.294 1
Ag1 0.000 0.000 0.500 1
Au1 0.500 0.500 0.000 1
Au2 0.500 0.500 0.195 1
Au3 0.500 0.500 0.386 1
```

Output
Total magnetic moment (μB/atom): 0.000
Theoretical density (g/cm³): 13.57
Calculated total energy (eV per atom): -2.611

=====

Entry 3:
VASP calculation (PBE-GGA) on a relaxed ZnAg5Au3 crystal.

CIF file:
```
data_ZnAg5Au3
_chemical_formula_sum 'Zn4 Ag20 Au12'
_space_group_name_H-M_alt 'C 1 2/m 1'
_space_group_IT_number 12
_space_group_name_Hall '-C 2y'
_cell_length_a 12.005
_cell_length_b 7.909
_cell_length_c 8.265
_cell_angle_alpha 90.00
_cell_angle_beta 90.09
_cell_angle_gamma 90.00
loop_
_atom_site_label
_atom_site_fract_x
_atom_site_fract_y
_atom_site_fract_z
_atom_site_occupancy
Zn1 0.112 0.000 0.250 1
Ag1 0.000 0.333 0.000 1
Ag2 0.024 0.500 0.660 1
Ag3 0.128 0.184 0.728 1
Ag4 0.199 0.500 0.878 1
Au1 0.000 0.000 0.000 1
Au2 0.000 0.000 0.500 1
Au3 0.178 0.500 0.202 1
Au4 0.239 0.500 0.527 1
```

Output
Total magnetic moment (μB/atom): 0.000
Theoretical density (g/cm³): 10.12
Calculated total energy (eV per atom): -2.621

=====

Entry 4:
VASP calculation (PBE-GGA) on a relaxed Zn2Ag3Au4 crystal.

CIF file:
```
data_Zn2Ag3Au4
_chemical_formula_sum 'Zn2 Ag3 Au4'
_space_group_name_H-M_alt 'P -1'
_space_group_IT_number 2
_space_group_name_Hall '-P 1'
_cell_length_a 3.952
_cell_length_b 4.956
_cell_length_c 8.966
_cell_angle_alpha 75.50
_cell_angle_beta 89.81
_cell_angle_gamma 66.65
loop_
_atom_site_label
_atom_site_fract_x
_atom_site_fract_y
_atom_site_fract_z
_atom_site_occupancy
Zn1 0.169 0.160 0.225 1
Ag1 0.163 0.174 0.553 1
Ag2 0.500 0.500 0.000 1
Au1 0.174 0.151 0.885 1
Au2 0.493 0.515 0.676 1
```

Output
Total magnetic moment (μB/atom): 0.000
Energy above the lowest structure with this stoichiometry (eV/atom): 0.000
Theoretical density (g/cm³): 13.29
Calculated total energy (eV per atom): -2.789

=====

Entry 5:
VASP calculation (PBE-GGA) on a relaxed Zn4Ag2Au5 crystal.

CIF file:
```
data_Zn4Ag2Au5
_chemical_formula_sum 'Zn4 Ag2 Au5'
_space_group_name_H-M_alt 'P -1'
_space_group_IT_number 2
_space_group_name_Hall '-P 1'
_cell_length_a 5.005
_cell_length_b 5.576
_cell_length_c 7.407
_cell_angle_alpha 82.33
_cell_angle_beta 76.54
_cell_angle_gamma 80.46
loop_
_atom_site_label
_atom_site_fract_x
_atom_site_fract_y
_atom_site_fract_z
_atom_site_occupancy
Zn1 0.061 0.040 0.173 1
Zn2 0.226 0.576 0.277 1
Ag1 0.281 0.617 0.624 1
Au1 0.000 0.500 0.000 1
Au2 0.223 0.147 0.501 1
Au3 0.446 0.789 0.933 1
```

Output
Total magnetic moment (μB/atom): 0.000
Energy above the lowest structure with this stoichiometry (eV/atom): 0.000
Theoretical density (g/cm³): 12.31
Calculated total energy (eV per atom): -2.560

=====

Entry 6:
VASP calculation (PBE-GGA) on a relaxed Zn3AgAu crystal.

CIF file:
```
data_Zn3AgAu
_chemical_formula_sum 'Zn12 Ag4 Au4'
_space_group_name_H-M_alt 'P n m a'
_space_group_IT_number 62
_space_group_name_Hall '-P 2ac 2n'
_cell_length_a 9.068
_cell_length_b 2.882
_cell_length_c 12.511
_cell_angle_alpha 90.00
_cell_angle_beta 90.00
_cell_angle_gamma 90.00
loop_
_atom_site_label
_atom_site_fract_x
_atom_site_fract_y
_atom_site_fract_z
_atom_site_occupancy
Zn1 0.118 0.250 0.066 1
Zn2 0.122 0.750 0.662 1
Zn3 0.127 0.750 0.267 1
Ag1 0.140 0.250 0.469 1
Au1 0.113 0.250 0.853 1
```

Output
Total magnetic moment (μB/atom): 0.000
Energy above the lowest structure with this stoichiometry (eV/atom): 0.000
Theoretical density (g/cm³): 10.18
Calculated total energy (eV per atom): -2.077

=====

Entry 7:
VASP calculation (PBE-GGA) on a relaxed Zn2AgAu4 crystal.

CIF file:
```
data_Zn2AgAu4
_chemical_formula_sum 'Zn4 Ag2 Au8'
_space_group_name_H-M_alt 'I 4/m m m'
_space_group_IT_number 139
_space_group_name_Hall '-I 4 2'
_cell_length_a 5.658
_cell_length_b 5.658
_cell_length_c 8.082
_cell_angle_alpha 90.00
_cell_angle_beta 90.00
_cell_angle_gamma 90.00
loop_
_atom_site_label
_atom_site_fract_x
_atom_site_fract_y
_atom_site_fract_z
_atom_site_occupancy
Zn1 0.000 0.500 0.000 1
Ag1 0.000 0.000 0.000 1
Au1 0.250 0.250 0.250 1
```

Output
Total magnetic moment (μB/atom): 0.000
Theoretical density (g/cm³): 13.18
Calculated total energy (eV per atom): -2.745

=====

Entry 8:
VASP calculation (PBE-GGA) on a relaxed ZnAg2Au5 crystal.

CIF file:
```
data_ZnAg2Au5
_chemical_formula_sum 'Zn2 Ag4 Au10'
_space_group_name_H-M_alt 'I 4/m m m'
_space_group_IT_number 139
_space_group_name_Hall '-I 4 2'
_cell_length_a 4.107
_cell_length_b 4.107
_cell_length_c 16.690
_cell_angle_alpha 90.00
_cell_angle_beta 90.00
_cell_angle_gamma 90.00
loop_
_atom_site_label
_atom_site_fract_x
_atom_site_fract_y
_atom_site_fract_z
_atom_site_occupancy
Zn1 0.000 0.000 0.000 1
Ag1 0.000 0.000 0.252 1
Au1 0.000 0.000 0.500 1
Au2 0.000 0.500 0.122 1
```

Output
Total magnetic moment (μB/atom): 0.000
Energy above the lowest structure with this stoichiometry (eV/atom): 0.000
Theoretical density (g/cm³): 14.94
Calculated total energy (eV per atom): -3.000

=====

Entry 9:
VASP calculation (PBE-GGA) on a relaxed ZnAgAu3 crystal.

CIF file:
```
data_ZnAgAu3
_chemical_formula_sum 'Zn1 Ag1 Au3'
_space_group_name_H-M_alt 'P m -3 m'
_space_group_IT_number 221
_space_group_name_Hall '-P 4 2 3'
_cell_length_a 4.822
_cell_length_b 4.822
_cell_length_c 4.822
_cell_angle_alpha 90.00
_cell_angle_beta 90.00
_cell_angle_gamma 90.00
loop_
_atom_site_label
_atom_site_fract_x
_atom_site_fract_y
_atom_site_fract_z
_atom_site_occupancy
Zn1 0.000 0.000 0.000 1
Ag1 0.500 0.500 0.500 1
Au1 0.000 0.000 0.500 1
```

Output
Total magnetic moment (μB/atom): 0.000
Energy above the lowest structure with this stoichiometry (eV/atom): 0.557
Theoretical density (g/cm³): 11.32
Calculated total energy (eV per atom): -2.356

=====

Entry 10:
VASP calculation (PBE-GGA) on a relaxed ZnAg2Au9 crystal.

CIF file:
```
data_ZnAg2Au9
_chemical_formula_sum 'Zn1 Ag2 Au9'
_space_group_name_H-M_alt 'P 4/m m m'
_space_group_IT_number 123
_space_group_name_Hall '-P 4 2'
_cell_length_a 4.131
_cell_length_b 4.131
_cell_length_c 12.479
_cell_angle_alpha 90.00
_cell_angle_beta 90.00
_cell_angle_gamma 90.00
loop_
_atom_site_label
_atom_site_fract_x
_atom_site_fract_y
_atom_site_fract_z
_atom_site_occupancy
Zn1 0.000 0.000 0.000 1
Ag1 0.000 0.000 0.332 1
Au1 0.000 0.500 0.162 1
Au2 0.000 0.500 0.500 1
Au3 0.500 0.500 0.000 1
Au4 0.500 0.500 0.331 1
```

Output
Total magnetic moment (μB/atom): 0.000
Theoretical density (g/cm³): 16.01
Calculated total energy (eV per atom): -3.104

=====

| no. | ΔH_f (0 K) (kcal/mol of atoms) |
| --- | --- |
| 1 | -0.613 |
| 2 | -4.103 |
| 3 | 4.536 |
| 4 | -2.273 |
| 5 | -2.034 |
| 6 | -1.993 |
| 7 | -2.319 |
| 8 | -1.828 |
| 9 | 10.040 |
| 10 | -1.495 |